1 | Nb2VHIr: optimized geometry, PBE-GGA.

a b c (Å): 4.3306 4.3306 3.6101
angles (deg): 90.00 90.00 90.00
Last column: nearest neighbours and their distance in Å.
Fractional coordinates of all 5 atoms:
H  0.0000  0.0000  0.0000  2 Ir 1.81
Nb  0.0000  0.5000  0.0000  2 H 2.17
Nb  0.5000  0.0000  0.0000  2 H 2.17
Ir  0.0000  0.0000  0.5000  2 H 1.81
V  0.5000  0.5000  0.5000  8 Nb 2.82, 4 Ir 3.06

Properties
DOS(E_F): 3.03 states/eV/cell
Magnetic moment: 0.00 μB per formula unit
Calculated volume: 13.54 Å³/atom



2 | Nb2VHIr: optimized geometry, PBE-GGA.

a b c (Å): 4.3632 4.3632 3.5036
angles (deg): 90.00 90.00 90.00
Last column: nearest neighbours and their distance in Å.
Fractional coordinates of all 5 atoms:
H  0.0000  0.0000  0.0000  2 V 1.75
Nb  0.0000  0.5000  0.0000  2 H 2.18
Nb  0.5000  0.0000  0.0000  2 H 2.18
Ir  0.5000  0.5000  0.5000  8 Nb 2.80, 4 V 3.09
V  0.0000  0.0000  0.5000  2 H 1.75

Properties
DOS(E_F): 4.46 states/eV/cell
Magnetic moment: 0.00 μB per formula unit
Calculated volume: 13.34 Å³/atom



Energy relative to the most stable one, in meV per atom: 1 69; 2 0